(1)
Computed, not measured: a relaxed structure of W8Se at the PBE level of DFT.

As for the space group: No. 139. The formation energy from raw total energies comes out at 0.4998 eV per atom. Its calculated total energy is -102.6 eV/cell.

Structure (POSCAR):
```
W8Se
1.0
-4.073 4.073 2.217
4.073 -4.073 2.217
4.073 4.073 -2.217
W Se
8 1
Cartesian
2.718 0.000 0.000 W
5.429 0.000 0.000 W
2.701 2.701 0.000 W
1.372 -1.372 2.217 W
0.000 2.718 0.000 W
0.000 5.429 0.000 W
-1.372 1.372 2.217 W
1.372 1.372 2.217 W
0.000 0.000 0.000 Se
```



(2)
Computed, not measured: a relaxed structure of Cu4Tc at the PBE level of DFT.

As for the space group: No. 221. Its calculated total energy is -18.9 eV/cell. Its energy relative to the elements is 36.40 kcal/mol of atoms.

Structure (POSCAR):
```
Cu4Tc
1.0
4.606 0.000 0.000
0.000 4.606 0.000
0.000 0.000 4.606
Cu Tc
4 1
Cartesian
0.000 0.000 0.000 Cu
0.000 2.303 2.303 Cu
2.303 0.000 2.303 Cu
2.303 2.303 0.000 Cu
2.303 2.303 2.303 Tc
```



Number 1: theoretical density 17.5 g cm⁻³. Number 2: theoretical density 6.0 g cm⁻³.